This record from Alexandria via LeMat-Bulk describes crystalline K2HoH4 at its relaxed geometry. The functional is PBE.

a = 7.7830 Å, b = 7.7830 Å, c = 7.7830 Å
α = 148.11°, β = 148.11°, γ = 45.73°
Fractional coordinates of all 7 atoms:
K (0.1555, 0.1555, 0.0000)
K (0.8445, 0.8445, 0.0000)
Ho (0.5000, 0.5000, 0.0000)
H (0.0000, 0.5000, 0.5000)
H (0.3453, 0.3453, 0.0000)
H (0.5000, 0.0000, 0.5000)
H (0.6547, 0.6547, 0.0000)

SG = I4/mmm, No. 139
E = -3.132 eV per atom
Fermi-level density of states = 0.38 states/eV per atom